1.
The following is a DFT calculation (PBE) of HfMgTiNi2 after structural relaxation.

a = 4.633 Å, b = 4.792 Å, c = 4.633 Å
α = 90.00°, β = 90.00°, γ = 90.00°
Sites, in units of the cell vectors:
Ni1 0.000 0.000 0.500
Ni2 0.500 0.000 0.000
Mg1 0.500 0.500 0.500
Hf1 0.000 0.000 0.000
Ti1 0.000 0.500 0.000

## Properties
density of states at the Fermi level = 1.071 states/eV per atom
energy relative to the lowest polymorph listed for this composition = 193 meV per atom
V = 103 Å³ per cell
symmetry = P4/mmm (123)

=====

2.
The following is a DFT calculation (PBE) of HfMgTiNi2 after structural relaxation.

a = 4.331 Å, b = 4.772 Å, c = 4.331 Å
α = 90.00°, β = 90.00°, γ = 90.00°
Sites, in units of the cell vectors:
Ni1 0.000 0.000 0.500
Ni2 0.500 0.000 0.000
Mg1 0.000 0.500 0.000
Hf1 0.500 0.500 0.500
Ti1 0.000 0.000 0.000

## Properties
density of states at the Fermi level = 0.799 states/eV per atom
energy relative to the lowest polymorph listed for this composition = 0 meV per atom
V = 89 Å³ per cell
symmetry = P4/mmm (123)